A relaxed CaMgCr crystal, computed with GGA-PBE.

Cell and atoms, written as POSCAR:
```
CaMgCr
1.0
0.0000 3.5602 3.5602
3.5602 0.0000 3.5602
3.5602 3.5602 0.0000
Ca Mg Cr
1 1 1
Direct
0.0000 0.0000 0.0000
0.5000 0.5000 0.5000
0.2500 0.2500 0.2500
```

**Total DFT energy (no corrections)**: -3.768 eV/atom
**Symmetry**: F-43m (216)
**Total magnetic moment**: 4.7 μB/f.u.
**ΔE_f**: 1.91 eV per formula unit